(1)
The following is a DFT calculation (GGA-PBE) of Pm2Cl4F after structural relaxation.

Lattice parameters (Å, degrees): 4.7892 4.7892 9.1375 74.81 74.81 60.00
Sites, in units of the cell vectors:
Cl 0.8905 0.8905 0.3286
Pm 0.4144 0.4144 0.7568
Cl 0.2976 0.2976 0.1071
Pm 0.5856 0.5856 0.2432
Cl 0.7024 0.7024 0.8929
Cl 0.1095 0.1095 0.6714
F 0.5000 0.5000 0.5000

Calculated values
Its uncorrected formation energy is -2.38 eV/atom. As for the total magnetization: 1.03 μB per formula unit. Its calculated density is 4.3 Mg/m³.


(2)
The following is a DFT calculation (GGA-PBE) of PmClF2 after structural relaxation.

Lattice parameters (Å, degrees): 4.5022 4.5022 4.2829 58.29 58.29 60.00
Sites, in units of the cell vectors:
Cl 0.5000 0.5000 0.5000
Pm 0.0000 0.0000 0.0000
F 0.7628 0.7628 0.7117
F 0.2372 0.2372 0.2883

Calculated values
Its uncorrected formation energy is -3.06 eV/atom. As for the total magnetization: 0.00 μB per formula unit. Its calculated density is 6.1 Mg/m³.


(3)
The following is a DFT calculation (GGA-PBE) of Pm2ClF6 after structural relaxation.

Lattice parameters (Å, degrees): 4.1857 6.4304 6.4304 64.08 71.01 71.01
Sites, in units of the cell vectors:
Pm 0.6919 0.3081 0.3081
F 0.5000 0.3167 0.6833
Cl 0.0000 0.0000 0.0000
F 0.5000 0.6833 0.3167
Pm 0.3081 0.6919 0.6919
F 0.1984 0.1202 0.4830
F 0.8016 0.5170 0.8798
F 0.8016 0.8798 0.5170
F 0.1984 0.4830 0.1202

Calculated values
Its uncorrected formation energy is -3.42 eV/atom. As for the total magnetization: 1.01 μB per formula unit. Its calculated density is 5.1 Mg/m³.


(4)
The following is a DFT calculation (GGA-PBE) of PmClF2 after structural relaxation.

Lattice parameters (Å, degrees): 4.0464 4.0464 5.5416 68.59 68.59 60.00
Sites, in units of the cell vectors:
F 0.2991 0.2991 0.1026
F 0.0274 0.0274 0.9179
Pm 0.6813 0.6813 0.9560
Cl 0.4922 0.4922 0.5235

Calculated values
Its uncorrected formation energy is -3.45 eV/atom. As for the total magnetization: 0.00 μB per formula unit. Its calculated density is 5.1 Mg/m³.


(5)
The following is a DFT calculation (GGA-PBE) of PmCl2F4 after structural relaxation.

Lattice parameters (Å, degrees): 3.9782 3.9572 10.0083 126.04 101.46 90.00
Sites, in units of the cell vectors:
Cl 0.7497 0.7490 0.4993
F 0.4200 0.7619 0.8399
F 0.9194 0.2603 0.8389
F 0.0806 0.7397 0.1611
Pm 0.0000 0.0000 0.0000
Cl 0.2503 0.2510 0.5007
F 0.5800 0.2381 0.1601

Calculated values
Its uncorrected formation energy is -2.08 eV/atom. As for the total magnetization: 1.64 μB per formula unit. Its calculated density is 3.9 Mg/m³.


(6)
The following is a DFT calculation (GGA-PBE) of Pm2ClF after structural relaxation.

Lattice parameters (Å, degrees): 3.6063 3.6063 9.1374 78.62 78.62 60.00
Sites, in units of the cell vectors:
Cl 0.0000 0.0000 0.0000
Pm 0.0993 0.0993 0.7020
Pm 0.9007 0.9007 0.2980
F 0.5000 0.5000 0.5000

Calculated values
Its uncorrected formation energy is -1.63 eV/atom. As for the total magnetization: 0.00 μB per formula unit. Its calculated density is 5.7 Mg/m³.


(7)
The following is a DFT calculation (GGA-PBE) of RbPm2Cl2F5 after structural relaxation.

Lattice parameters (Å, degrees): 3.5846 10.0483 10.0483 90.00 90.00 90.00
Sites, in units of the cell vectors:
F 0.5000 0.7700 0.9210
Pm 0.0000 0.3705 0.1295
F 0.5000 0.2700 0.5790
Rb 0.0000 0.0000 0.0000
F 0.5000 0.0790 0.7700
F 0.5000 0.5000 0.0000
Pm 0.0000 0.6295 0.8705
F 0.5000 0.4210 0.2700
F 0.5000 0.5790 0.7300
Pm 0.0000 0.8705 0.3705
Cl 0.0000 0.6648 0.1648
Cl 0.0000 0.3352 0.8352
Cl 0.0000 0.8352 0.6648
Rb 0.0000 0.5000 0.5000
F 0.5000 0.0000 0.5000
Pm 0.0000 0.1295 0.6295
Cl 0.0000 0.1648 0.3352
F 0.5000 0.2300 0.0790
F 0.5000 0.7300 0.4210
F 0.5000 0.9210 0.2300

Calculated values
Its uncorrected formation energy is -3.27 eV/atom. As for the total magnetization: 0.00 μB per formula unit. Its calculated density is 5.0 Mg/m³.


(8)
The following is a DFT calculation (GGA-PBE) of Rb2PmCl3F3 after structural relaxation.

Lattice parameters (Å, degrees): 3.5468 8.5649 8.5649 120.00 90.00 90.00
Sites, in units of the cell vectors:
Pm 0.0000 0.0000 0.0000
Rb 0.5000 0.3333 0.6667
F 0.5000 0.0000 0.8176
F 0.5000 0.1824 0.1824
Cl 0.0000 0.6318 0.6318
Cl 0.0000 0.0000 0.3682
Rb 0.5000 0.6667 0.3333
Cl 0.0000 0.3682 0.0000
F 0.5000 0.8176 0.0000

Calculated values
Its uncorrected formation energy is -2.47 eV/atom. As for the total magnetization: 1.04 μB per formula unit. Its calculated density is 3.5 Mg/m³.


(9)
The following is a DFT calculation (GGA-PBE) of Pm2SClF2 after structural relaxation.

Lattice parameters (Å, degrees): 4.0560 4.0560 7.9737 90.00 90.00 120.00
Sites, in units of the cell vectors:
F 0.6667 0.3333 0.7666
Cl 0.0000 0.0000 0.0000
S 0.0000 0.0000 0.5000
Pm 0.6667 0.3333 0.2824
Pm 0.3333 0.6667 0.7176
F 0.3333 0.6667 0.2334

Calculated values
Its uncorrected formation energy is -2.83 eV/atom. As for the total magnetization: 0.00 μB per formula unit. Its calculated density is 5.8 Mg/m³.


(10)
The following is a DFT calculation (GGA-PBE) of Pm2SeClF2 after structural relaxation.

Lattice parameters (Å, degrees): 4.0973 4.0973 8.1706 90.00 90.00 120.00
Sites, in units of the cell vectors:
Pm 0.3333 0.6667 0.7270
Cl 0.0000 0.0000 0.0000
Pm 0.6667 0.3333 0.2730
F 0.6667 0.3333 0.7720
Se 0.0000 0.0000 0.5000
F 0.3333 0.6667 0.2280

Calculated values
Its uncorrected formation energy is -2.76 eV/atom. As for the total magnetization: 0.00 μB per formula unit. Its calculated density is 6.2 Mg/m³.


(11)
The following is a DFT calculation (GGA-PBE) of PrClF2 after structural relaxation.

Lattice parameters (Å, degrees): 5.3989 7.4674 6.7786 90.00 90.00 90.00
Sites, in units of the cell vectors:
F 0.1077 0.6573 0.0582
Cl 0.6007 0.5299 0.2500
Pr 0.1189 0.3751 0.2500
F 0.3923 0.1573 0.4418
F 0.8923 0.3427 0.5582
Cl 0.1007 0.9701 0.7500
Cl 0.3993 0.4701 0.7500
Pr 0.6189 0.1249 0.7500
F 0.3923 0.1573 0.0582
F 0.6077 0.8427 0.9418
Cl 0.8993 0.0299 0.2500
F 0.6077 0.8427 0.5582
Pr 0.3811 0.8751 0.2500
F 0.8923 0.3427 0.9418
F 0.1077 0.6573 0.4418
Pr 0.8811 0.6249 0.7500

Calculated values
Its uncorrected formation energy is -3.46 eV/atom. As for the total magnetization: 0.00 μB per formula unit. Its calculated density is 5.2 Mg/m³.


(12)
The following is a DFT calculation (GGA-PBE) of Pr2Cl4F after structural relaxation.

Lattice parameters (Å, degrees): 4.8533 4.8533 9.2885 74.86 74.86 60.00
Sites, in units of the cell vectors:
Cl 0.2022 0.2022 0.3934
Pr 0.0857 0.0857 0.7429
Pr 0.9143 0.9143 0.2571
F 0.0000 0.0000 0.0000
Cl 0.7978 0.7978 0.6066
Cl 0.3904 0.3904 0.8287
Cl 0.6096 0.6096 0.1713

Calculated values
Its uncorrected formation energy is -2.39 eV/atom. As for the total magnetization: 1.04 μB per formula unit. Its calculated density is 4.1 Mg/m³.


(13)
The following is a DFT calculation (GGA-PBE) of PrCl6F2 after structural relaxation.

Lattice parameters (Å, degrees): 3.7285 8.5498 10.4329 104.92 100.77 115.80
Sites, in units of the cell vectors:
Pr 0.0000 0.0000 0.0000
Cl 0.0309 0.1975 0.6820
Cl 0.3096 0.4704 0.6930
Cl 0.9691 0.8025 0.3180
F 0.6648 0.1715 0.9879
Cl 0.3443 0.1892 0.2968
Cl 0.6904 0.5296 0.3070
Cl 0.6557 0.8108 0.7032
F 0.3352 0.8285 0.0121

Calculated values
Its uncorrected formation energy is -1.39 eV/atom. As for the total magnetization: 0.00 μB per formula unit. Its calculated density is 2.4 Mg/m³.


(14)
The following is a DFT calculation (GGA-PBE) of PrCl2F after structural relaxation.

Lattice parameters (Å, degrees): 4.1405 4.1405 7.2962 74.08 74.08 59.98
Sites, in units of the cell vectors:
Cl 0.0422 0.0422 0.8823
Cl 0.2079 0.2079 0.3677
F 0.4583 0.4583 0.6250
Pr 0.7916 0.7916 0.6249

Calculated values
Its uncorrected formation energy is -2.89 eV/atom. As for the total magnetization: 0.00 μB per formula unit. Its calculated density is 3.7 Mg/m³.


(15)
The following is a DFT calculation (GGA-PBE) of PrClF2 after structural relaxation.

Lattice parameters (Å, degrees): 4.0723 4.0723 5.4941 68.25 68.25 60.00
Sites, in units of the cell vectors:
Pr 0.0000 0.0000 0.0000
F 0.2966 0.2966 0.1102
F 0.7034 0.7034 0.8898
Cl 0.5000 0.5000 0.5000

Calculated values
Its uncorrected formation energy is -3.35 eV/atom. As for the total magnetization: 0.00 μB per formula unit. Its calculated density is 5.0 Mg/m³.


(16)
The following is a DFT calculation (GGA-PBE) of Pr2ClF6 after structural relaxation.

Lattice parameters (Å, degrees): 4.2567 6.5417 6.5417 63.84 71.01 71.01
Sites, in units of the cell vectors:
Pr 0.3080 0.6920 0.6920
F 0.8019 0.5163 0.8799
Cl 0.0000 0.0000 0.0000
F 0.5000 0.3163 0.6837
Pr 0.6920 0.3080 0.3080
F 0.5000 0.6837 0.3163
F 0.8019 0.8799 0.5163
F 0.1981 0.1201 0.4837
F 0.1981 0.4837 0.1201

Calculated values
Its uncorrected formation energy is -3.40 eV/atom. As for the total magnetization: 1.01 μB per formula unit. Its calculated density is 4.7 Mg/m³.


(17)
The following is a DFT calculation (GGA-PBE) of PrCl2F after structural relaxation.

Lattice parameters (Å, degrees): 6.3386 6.3386 6.0676 117.89 117.89 96.00
Sites, in units of the cell vectors:
F 0.8589 0.1411 0.0000
Cl 0.7500 0.2500 0.5000
F 0.1411 0.8589 0.0000
Cl 0.6829 0.6829 0.0000
Cl 0.2500 0.7500 0.5000
Pr 0.7856 0.7856 0.5712
Pr 0.2144 0.2144 0.4288
Cl 0.3171 0.3171 0.0000

Calculated values
Its uncorrected formation energy is -2.62 eV/atom. As for the total magnetization: 0.00 μB per formula unit. Its calculated density is 4.4 Mg/m³.


(18)
The following is a DFT calculation (GGA-PBE) of PrClF2 after structural relaxation.

Lattice parameters (Å, degrees): 3.9737 5.4871 7.2022 90.00 90.00 111.23
Sites, in units of the cell vectors:
Pr 0.2362 0.4725 0.2500
F 0.3192 0.6383 0.5665
Cl 0.0480 0.0960 0.7500
F 0.6808 0.3617 0.4335
Pr 0.7638 0.5275 0.7500
F 0.3192 0.6383 0.9335
Cl 0.9520 0.9040 0.2500
F 0.6808 0.3617 0.0665

Calculated values
Its uncorrected formation energy is -3.50 eV/atom. As for the total magnetization: 0.00 μB per formula unit. Its calculated density is 4.9 Mg/m³.


(19)
The following is a DFT calculation (GGA-PBE) of RbPr2Cl2F5 after structural relaxation.

Lattice parameters (Å, degrees): 3.6476 10.1472 10.1472 90.00 90.00 90.00
Sites, in units of the cell vectors:
Cl 0.0000 0.1642 0.3358
F 0.5000 0.4207 0.2722
Pr 0.0000 0.8698 0.3698
F 0.5000 0.0793 0.7722
Cl 0.0000 0.8358 0.6642
F 0.5000 0.7722 0.9207
F 0.5000 0.9207 0.2278
Pr 0.0000 0.1302 0.6302
Rb 0.0000 0.5000 0.5000
Cl 0.0000 0.3358 0.8358
F 0.5000 0.5000 0.0000
Pr 0.0000 0.3698 0.1302
F 0.5000 0.5793 0.7278
Cl 0.0000 0.6642 0.1642
F 0.5000 0.2722 0.5793
Pr 0.0000 0.6302 0.8698
F 0.5000 0.7278 0.4207
F 0.5000 0.0000 0.5000
F 0.5000 0.2278 0.0793
Rb 0.0000 0.0000 0.0000

Calculated values
Its uncorrected formation energy is -3.26 eV/atom. As for the total magnetization: 0.00 μB per formula unit. Its calculated density is 4.7 Mg/m³.


(20)
The following is a DFT calculation (GGA-PBE) of Pr6Ru2Cl3F after structural relaxation.

Lattice parameters (Å, degrees): 7.0169 7.0169 8.0029 98.44 98.44 120.19
Sites, in units of the cell vectors:
Cl 0.1734 0.8266 0.5000
Pr 0.9311 0.5890 0.7947
Pr 0.0689 0.4110 0.2053
Pr 0.4110 0.0689 0.2053
Pr 0.7272 0.7272 0.2018
Ru 0.6666 0.3334 0.0000
Cl 0.5000 0.5000 0.5000
Cl 0.8266 0.1734 0.5000
F 0.0000 0.0000 0.0000
Pr 0.2728 0.2728 0.7982
Ru 0.3334 0.6666 0.0000
Pr 0.5890 0.9311 0.7947

Calculated values
Its uncorrected formation energy is -1.25 eV/atom. As for the total magnetization: 0.00 μB per formula unit. Its calculated density is 6.0 Mg/m³.